# Li2HgPb4

Crystalline Li2HgPb4 at its relaxed geometry (PBE, Alexandria via LeMat-Bulk).

a b c (Å): 6.4740 10.0816 7.6911
angles (deg): 130.95 90.00 90.00
Sites, in units of the cell vectors:
Li: 0.5000 0.2455 0.4909
Li: 0.5000 0.7545 0.5091
Li: 0.0000 0.7455 0.4909
Li: 0.0000 0.2545 0.5091
Pb: 0.0001 0.3340 0.0000
Pb: 0.4999 0.8340 0.0000
Pb: 0.2500 0.5000 0.5000
Pb: 0.2500 0.0000 0.5000
Pb: 0.7500 0.5000 0.5000
Pb: 0.5001 0.1660 0.0000
Pb: 0.7500 0.0000 0.5000
Pb: 0.9999 0.6660 0.0000
Hg: 0.0000 0.0000 0.0000
Hg: 0.5000 0.5000 0.0000

Results
- SG = Fmmm (69)
- density of states at the Fermi level (states/eV/cell) = 5.52

# BaTlI

Crystalline BaTlI at its relaxed geometry (PBE, Alexandria via LeMat-Bulk).

a b c (Å): 5.1098 5.1098 12.7437
angles (deg): 88.21 88.21 60.07
Sites, in units of the cell vectors:
I: 0.3153 0.3153 0.8504
I: 0.6847 0.6847 0.1496
Ba: 0.9892 0.9892 0.7065
Ba: 0.0108 0.0108 0.2935
Tl: 0.3345 0.3345 0.4772
Tl: 0.6655 0.6655 0.5228

Results
- SG = C2/m (12)
- formation energy (no corrections) (eV per atom) = -1.002
- relative energy among the computed polymorphs (meV/atom) = 0.0
- density of states at the Fermi level (states/eV/cell) = 1.49

# LaCo2Tc

Crystalline LaCo2Tc at its relaxed geometry (PBE, Alexandria via LeMat-Bulk).

a b c (Å): 3.0876 3.0876 6.9609
angles (deg): 90.00 90.00 90.00
Last column: magnetic moment on the atom in μB.
Sites, in units of the cell vectors:
Tc: 0.5000 0.5000 0.8343  -0.11
Co: 0.0000 0.0000 0.9981  -0.44
Co: 0.5000 0.5000 0.1847  1.20
La: 0.0000 0.0000 0.4829  -0.07

Results
- SG = P4mm (99)
- relative energy among the computed polymorphs (meV/atom) = 328.0
- density of states at the Fermi level (states/eV/cell) = 5.95

# BaAl3Pd

Crystalline BaAl3Pd at its relaxed geometry (PBE, Alexandria via LeMat-Bulk).

a b c (Å): 4.9216 4.9216 4.9216
angles (deg): 90.00 90.00 90.00
Sites, in units of the cell vectors:
Pd: 0.0000 0.0000 0.0000
Al: 0.5000 0.0000 0.0000
Al: 0.0000 0.0000 0.5000
Al: 0.0000 0.5000 0.0000
Ba: 0.5000 0.5000 0.5000

Results
- SG = Pm-3m (221)
- density of states at the Fermi level (states/eV/cell) = 3.88

# NbCrHRu2

Crystalline NbCrHRu2 at its relaxed geometry (PBE, Alexandria via LeMat-Bulk).

a b c (Å): 3.9428 3.9428 3.9551
angles (deg): 90.00 90.00 90.00
Last column: magnetic moment on the atom in μB.
Sites, in units of the cell vectors:
Ru: 0.5000 0.0000 0.0000  -0.13
Ru: 0.0000 0.5000 0.0000  -0.13
Nb: 0.0000 0.0000 0.5000  -0.05
Cr: 0.5000 0.5000 0.5000  2.23
H: 0.0000 0.0000 0.0000  0.00

Results
- SG = P4/mmm (123)
- relative energy among the computed polymorphs (meV/atom) = 42.8
- density of states at the Fermi level (states/eV/cell) = 4.97

# La2Zn3HgPd4

Crystalline La2Zn3HgPd4 at its relaxed geometry (PBE, Alexandria via LeMat-Bulk).

a b c (Å): 4.2746 4.2746 11.2259
angles (deg): 90.00 90.00 90.00
Sites, in units of the cell vectors:
Pd: 0.0000 0.0000 0.0000
Pd: 0.5000 0.0000 0.6553
Pd: 0.5000 0.5000 0.0000
Pd: 0.0000 0.5000 0.3447
La: 0.5000 0.0000 0.2437
La: 0.0000 0.5000 0.7563
Zn: 0.0000 0.0000 0.5000
Zn: 0.0000 0.5000 0.1229
Zn: 0.5000 0.0000 0.8771
Hg: 0.5000 0.5000 0.5000

Results
- SG = P-4m2 (115)
- density of states at the Fermi level (states/eV/cell) = 5.17

# Tl4SbI

Crystalline Tl4SbI at its relaxed geometry (PBE, Alexandria via LeMat-Bulk).

a b c (Å): 8.7293 7.6082 9.1937
angles (deg): 109.70 114.07 99.30
Sites, in units of the cell vectors:
Tl: 0.2215 0.4968 0.5289
Tl: 0.7785 0.5032 0.4711
Tl: 0.4848 0.7366 0.9852
Tl: 0.8075 0.0321 0.5289
Tl: 0.5152 0.2634 0.0148
Tl: 0.0005 0.2486 0.9852
Tl: 0.1925 0.9679 0.4711
Tl: 0.9995 0.7514 0.0148
I: 0.4007 0.6507 0.3014
I: 0.5993 0.3493 0.6986
Sb: 0.8591 0.1091 0.2182
Sb: 0.1409 0.8909 0.7818

Results
- SG = C2/c (15)
- formation energy (no corrections) (eV per atom) = -0.127
- density of states at the Fermi level (states/eV/cell) = 2.69

# PrEr

Crystalline PrEr at its relaxed geometry (PBE, Alexandria via LeMat-Bulk).

a b c (Å): 3.6505 5.8321 6.2930
angles (deg): 90.00 90.07 90.00
Sites, in units of the cell vectors:
Er: 0.2490 0.2500 0.4188
Er: 0.7510 0.7500 0.5812
Pr: 0.7488 0.2500 0.9191
Pr: 0.2512 0.7500 0.0809

Results
- SG = P2_1/m (11)
- relative energy among the computed polymorphs (meV/atom) = 8.5
- density of states at the Fermi level (states/eV/cell) = 7.10

Which electronic total energy belongs to each record? In order, -2.792; -2.949; -7.022; -3.957; -8.305; -4.071; -2.650; -4.637 eV per atom.